Computed, not measured: a relaxed SmThHg3 crystal at the GGA-PBE level of DFT.

Calculated values
M_tot	0.02	μB per atom
energy	-2.9264	eV per atom
energy relative to the elements	-0.32	eV per atom
DOS(E_F)	9.69	states/eV per cell

Unit cell a=3.576 b=4.939 c=15.113 alpha=90.00 beta=96.79 gamma=90.00
Element x y z (fractional)
Sm: 0.927 0.750 0.853
Sm: 0.073 0.250 0.147
Th: 0.214 0.750 0.429
Th: 0.786 0.250 0.571
Hg: 0.619 0.750 0.238
Hg: 0.381 0.250 0.762
Hg: 0.523 0.750 0.047
Hg: 0.477 0.250 0.953
Hg: 0.673 0.250 0.347
Hg: 0.327 0.750 0.653